No. 1
{"formula": "Rb2YClF6", "functional": "GGA-PBE", "state": "optimized geometry", "total_magnetization_mub_per_cell": 2.00, "dos_ef_per_ev_cell": 0.00, "dft_energy_ev_per_atom": -4.78, "e_form_raw_ev_per_atom": -2.633, "lattice": [[-3.1565, -5.5718, 0.0299], [5.5716, -3.1566, -0.0495], [1.2549, -4.3629, 5.2415]], "species": ["Y", "F", "F", "F", "F", "F", "F", "Rb", "Rb", "Cl"], "frac_coords": [[0.0000, 0.0000, 0.0000], [0.2060, 0.2060, 0.5881], [0.7940, 0.7940, 0.4119], [0.2407, 0.2407, 0.0000], [0.7593, 0.7593, 0.0000], [0.7593, 0.2407, 0.0000], [0.2407, 0.7593, 0.0000], [0.7500, 0.2500, 0.5000], [0.2500, 0.7500, 0.5000], [0.5000, 0.5000, 0.0000]]}


No. 2
{"formula": "Rb2ZnCl2F2", "functional": "GGA-PBE", "state": "optimized geometry", "total_magnetization_mub_per_cell": 0.00, "dos_ef_per_ev_cell": 0.00, "dft_energy_ev_per_atom": -3.61, "e_form_raw_ev_per_atom": -2.093, "lattice": [[4.5399, 0.0000, 0.0000], [0.0000, 4.5399, 0.0000], [-2.2700, -2.2700, 7.7662]], "species": ["Rb", "Rb", "Zn", "Cl", "Cl", "F", "F"], "frac_coords": [[0.3758, 0.3758, 0.7516], [0.6242, 0.6242, 0.2484], [0.0000, 0.0000, 0.0000], [0.1504, 0.1504, 0.3008], [0.8496, 0.8496, 0.6992], [0.0000, 0.5000, 0.0000], [0.5000, 0.0000, 0.0000]]}


No. 3
{"formula": "RbZnClF2", "functional": "GGA-PBE", "state": "optimized geometry", "total_magnetization_mub_per_cell": 0.00, "dos_ef_per_ev_cell": 0.00, "dft_energy_ev_per_atom": -3.69, "relative_energy_mev_per_atom": 0, "e_form_raw_ev_per_atom": -2.120, "lattice": [[-1.9292, -3.2737, -0.7861], [6.7170, -1.8195, 0.6696], [-1.0679, -1.1759, 7.5180]], "species": ["Rb", "Rb", "Zn", "Zn", "Cl", "Cl", "F", "F", "F", "F"], "frac_coords": [[0.7309, 0.4618, 0.7500], [0.2691, 0.5382, 0.2500], [0.0000, 0.0000, 0.0000], [0.0000, 0.0000, 0.5000], [0.4741, 0.9483, 0.7500], [0.5259, 0.0517, 0.2500], [0.1374, 0.2749, 0.9644], [0.8626, 0.7251, 0.0356], [0.1374, 0.2749, 0.5356], [0.8626, 0.7251, 0.4644]]}


No. 4
{"formula": "RbZnClF2", "functional": "GGA-PBE", "state": "optimized geometry", "total_magnetization_mub_per_cell": 0.00, "dos_ef_per_ev_cell": 0.00, "dft_energy_ev_per_atom": -3.64, "relative_energy_mev_per_atom": 42, "e_form_raw_ev_per_atom": -2.078, "lattice": [[-0.2697, 4.1815, -1.1335], [-1.3891, 0.9922, 3.9910], [4.5634, 0.6791, 1.4195]], "species": ["Zn", "F", "F", "Rb", "Cl"], "frac_coords": [[0.0000, 0.0000, 0.0000], [0.0000, 0.5000, 0.0000], [0.5000, 0.0000, 0.0000], [0.5000, 0.5000, 0.5000], [0.0000, 0.0000, 0.5000]]}